A relaxed structure of InReTc2, computed with PBE-GGA.

Results
Size of the total moment (μB per formula unit): 0.000
Formation enthalpy at 0 K (kJ/mol of formula units): 61

Cell: 2.8712 2.8712 7.8258 Å, 90.00 90.00 90.00°
Element x y z (fractional)
In: 0.0000 0.0000 0.0000
Re: 0.0000 0.0000 0.5000
Tc: 0.5000 0.5000 0.2733
Tc: 0.5000 0.5000 0.7267

=====

A relaxed structure of InReTc4, computed with PBE-GGA.

Results
Size of the total moment (μB per formula unit): 0.000
Formation enthalpy at 0 K (kJ/mol of formula units): 228

Cell: 5.1394 5.1394 5.1394 Å, 60.00 60.00 60.00°
Element x y z (fractional)
In: 0.0000 0.0000 0.0000
Re: 0.2500 0.2500 0.2500
Tc: 0.1226 0.6258 0.6258
Tc: 0.6258 0.1226 0.6258
Tc: 0.6258 0.6258 0.1226
Tc: 0.6258 0.6258 0.6258

=====

A relaxed structure of InRe2Tc, computed with PBE-GGA.

Results
Size of the total moment (μB per formula unit): 0.000
Formation enthalpy at 0 K (kJ/mol of formula units): 174

Cell: 4.4901 4.4901 4.4901 Å, 60.00 60.00 60.00°
Element x y z (fractional)
In: 0.0000 0.0000 0.0000
Re: 0.5000 0.5000 0.5000
Re: 0.7500 0.7500 0.7500
Tc: 0.2500 0.2500 0.2500

=====

A relaxed structure of InReTc2, computed with PBE-GGA.

Results
Size of the total moment (μB per formula unit): 0.000
Formation enthalpy at 0 K (kJ/mol of formula units): 156

Cell: 2.8013 2.8013 9.1990 Å, 90.00 90.00 115.66°
Element x y z (fractional)
In: 0.0000 0.0000 0.0000
Re: 0.0000 0.0000 0.5000
Tc: 0.5000 0.5000 0.2644
Tc: 0.5000 0.5000 0.7356

=====

A relaxed structure of InRe2Tc, computed with PBE-GGA.

Results
Size of the total moment (μB per formula unit): 0.000
Formation enthalpy at 0 K (kJ/mol of formula units): 127

Cell: 2.8546 2.8546 7.9570 Å, 90.00 90.00 90.00°
Element x y z (fractional)
In: 0.0000 0.0000 0.0000
Re: 0.5000 0.5000 0.2747
Re: 0.5000 0.5000 0.7253
Tc: 0.0000 0.0000 0.5000

=====

A relaxed structure of InReTc2, computed with PBE-GGA.

Results
Size of the total moment (μB per formula unit): 0.000
Formation enthalpy at 0 K (kJ/mol of formula units): 154

Cell: 5.1023 5.1023 5.1023 Å, 135.81 135.81 64.28°
Element x y z (fractional)
In: 0.0000 0.0000 0.0000
Re: 0.2500 0.7500 0.5000
Tc: 0.5000 0.5000 0.0000
Tc: 0.7500 0.2500 0.5000

=====

A relaxed structure of InReTc2, computed with PBE-GGA.

Results
Size of the total moment (μB per formula unit): 0.000
Formation enthalpy at 0 K (kJ/mol of formula units): 90

Cell: 9.2308 9.2308 9.2308 Å, 17.83 17.83 17.83°
Element x y z (fractional)
In: 0.0000 0.0000 0.0000
Re: 0.5000 0.5000 0.5000
Tc: 0.2448 0.2448 0.2448
Tc: 0.7552 0.7552 0.7552

=====

A relaxed structure of TlInRe2Tc, computed with PBE-GGA.

Results
Size of the total moment (μB per formula unit): 5.809
Formation enthalpy at 0 K (kJ/mol of formula units): 1412

Cell: 4.9472 4.9472 5.1184 Å, 90.00 90.00 90.00°
Element x y z (fractional)
Tl: 0.0000 0.0000 0.0000
In: 0.0000 0.0000 0.5000
Re: 0.0000 0.5000 0.5000
Re: 0.5000 0.0000 0.5000
Tc: 0.5000 0.5000 0.0000

=====

A relaxed structure of InRe2Te, computed with PBE-GGA.

Results
Size of the total moment (μB per formula unit): 0.000
Total energy (eV/cell): -50.491

Cell: 6.1096 6.1096 6.1096 Å, 102.10 102.10 125.51°
Element x y z (fractional)
In: 0.0000 0.0000 0.0000
In: 0.7500 0.2500 0.5000
Re: 0.1723 0.1250 0.5473
Re: 0.3750 0.8277 0.9527
Re: 0.5777 0.6250 0.4527
Re: 0.8750 0.4223 0.0473
Te: 0.2500 0.7500 0.5000
Te: 0.5000 0.5000 0.0000

=====

A relaxed structure of In3ReTe, computed with PBE-GGA.

Results
Size of the total moment (μB per formula unit): 1.932
Total energy (eV/cell): -20.904

Cell: 5.3145 5.3145 5.3145 Å, 90.00 90.00 90.00°
Element x y z (fractional)
In: 0.0000 0.0000 0.5000
In: 0.0000 0.5000 0.0000
In: 0.5000 0.0000 0.0000
Re: 0.0000 0.0000 0.0000
Te: 0.5000 0.5000 0.5000

=====

A relaxed structure of InRe2Te, computed with PBE-GGA.

Results
Size of the total moment (μB per formula unit): 0.000
Total energy (eV/cell): -27.503

Cell: 8.8587 8.8587 8.8587 Å, 20.22 20.22 20.22°
Element x y z (fractional)
In: 0.0000 0.0000 0.0000
Re: 0.2451 0.2451 0.2451
Re: 0.7549 0.7549 0.7549
Te: 0.5000 0.5000 0.5000

=====

A relaxed structure of InRe2Te, computed with PBE-GGA.

Results
Size of the total moment (μB per formula unit): 0.000
Total energy (eV/cell): -27.585

Cell: 3.2573 3.2573 6.6489 Å, 90.00 90.00 90.00°
Element x y z (fractional)
In: 0.0000 0.0000 0.0000
Re: 0.5000 0.5000 0.2603
Re: 0.5000 0.5000 0.7397
Te: 0.0000 0.0000 0.5000